[1]
La3Mg3InHg2 after structural relaxation, computed with PBE-GGA.

Cell lengths 7.7205, 7.7205, 4.8100 Å; angles 90.00, 90.00, 120.00 degrees
Space group P-62m (No. 189)
Unique sites:
La1 0.0000 0.4293 0.0000 (multiplicity 3)
Mg1 0.0000 0.7578 0.5000 (multiplicity 3)
In1 0.0000 0.0000 0.0000 (multiplicity 1)
Hg1 0.3333 0.6667 0.5000 (multiplicity 2)

## Properties
Raw total energy = -2.938 eV per atom
Calculated volume = 248 Å³ per cell

[2]
Fe3AsPb2 after structural relaxation, computed with PBE-GGA.

Cell lengths 5.481, 9.449, 4.495 Å; angles 90.00, 90.00, 90.00 degrees
Space group Cmmm (No. 65)
Unique sites:
Fe1 0.000 0.000 0.000 (multiplicity 2)
Fe2 0.250 0.250 0.000 (multiplicity 4)
As1 0.000 0.500 0.500 (multiplicity 2)
Pb1 0.000 0.167 0.500 (multiplicity 4)

## Properties
Raw total energy = -5.423 eV per atom
Calculated volume = 233 Å³ per cell